A plane-wave DFT calculation with PBE was carried out for a relaxed structure of LaBe2AuF.

Structure (POSCAR):
```
LaBe2AuF
1.0
-5.0846 2.6362 1.4678
-2.6963 -4.9261 -0.4933
1.0519 -1.1470 5.7039
Be F Au La
2 1 1 1
Direct
0.0000 0.0000 0.5000
0.5000 0.0000 0.0000
0.5000 0.5000 0.5000
0.0000 0.5000 0.0000
0.0000 0.0000 0.0000
```

SG ... P4/mmm
Uncorrected formation energy ... 5.72 eV/f.u.
Raw total energy ... -11.81 eV per formula unit
Magnetic moment ... 0.0 μB per cell

A plane-wave DFT calculation with PBE was carried out for a relaxed structure of Li4Sm3Tl4.

Structure (POSCAR):
```
Li4Sm3Tl4
1.0
-2.5381 -1.7100 3.6840
3.9609 -6.1792 -0.1393
4.2760 7.0318 3.0967
Li Sm Tl
4 3 4
Direct
0.3256 0.1399 0.6511
0.6744 0.4888 0.3489
0.6744 0.8601 0.3489
0.3256 0.5112 0.6511
0.1199 0.1199 0.2398
0.8801 0.8801 0.7602
0.0000 0.5000 0.0000
0.2201 0.7201 0.4402
0.7799 0.2799 0.5598
0.5000 0.7903 0.0000
0.5000 0.2097 0.0000
```

SG ... Immm
Distance to the lowest polymorph of the same formula ... 14.3 kJ/mol of formula units
Raw total energy ... -34.24 eV per formula unit
Energy of formation ... -0.27 eV/atom
Magnetic moment ... 0.0 μB per cell

A plane-wave DFT calculation with PBE was carried out for a relaxed structure of KCu2ICl8.

Structure (POSCAR):
```
KCu2ICl8
1.0
9.0780 0.3268 0.4791
0.4530 6.7001 0.2856
0.4977 0.2613 6.8206
K Cu I Cl
1 2 1 8
Direct
0.0000 0.0000 0.5000
0.4926 0.5064 0.7515
0.5074 0.4936 0.2485
0.0000 0.0000 0.0000
0.0175 0.6749 0.2141
0.6015 0.6711 0.9685
0.7675 0.1273 0.2161
0.9825 0.3251 0.7859
0.3985 0.3289 0.0315
0.2325 0.8727 0.7839
0.5977 0.6735 0.4714
0.4023 0.3265 0.5286
```

SG ... P-1
Uncorrected formation energy ... -7.22 eV/f.u.
Raw total energy ... -32.83 eV per formula unit
Magnetic moment ... 2.0 μB per cell

A plane-wave DFT calculation with PBE was carried out for a relaxed structure of BaNi2Te.

Structure (POSCAR):
```
BaNi2Te
1.0
5.3869 -0.7703 0.0063
0.8413 5.3763 -0.0063
-2.2284 -3.5007 3.5202
Ba Ni Te
1 2 1
Direct
0.2451 0.7451 0.5000
0.9132 0.9132 0.0000
0.7550 0.2550 0.5000
0.5867 0.5867 0.0000
```

SG ... Imm2
Uncorrected formation energy ... -0.14 eV/f.u.
Raw total energy ... -16.77 eV per formula unit
Magnetic moment ... 0.0 μB per cell

A plane-wave DFT calculation with PBE was carried out for a relaxed structure of K2YBeBi.

Structure (POSCAR):
```
K2YBeBi
1.0
-5.1123 4.0221 1.8091
-4.0539 -3.1952 -4.3523
-1.2467 -3.1458 3.4706
Y Be K Bi
1 1 2 1
Direct
0.0000 0.0000 0.0000
0.0000 0.0000 0.5000
0.0000 0.5000 0.0000
0.5000 0.0000 0.0000
0.5000 0.5000 0.5000
```

SG ... P4/mmm
Raw total energy ... -10.80 eV per formula unit
Energy of formation ... 1.09 eV/atom
Magnetic moment ... 0.3 μB per cell

A plane-wave DFT calculation with PBE was carried out for a relaxed structure of Pr3CuSn2.

Structure (POSCAR):
```
Pr3CuSn2
1.0
-4.4784 -0.7521 -0.4887
0.1002 -7.0529 9.9367
-2.4663 10.0392 7.1505
Pr Cu Sn
12 4 8
Direct
0.2500 0.3741 0.0534
0.7500 0.6259 0.9466
0.7500 0.8741 0.4466
0.2500 0.1259 0.5534
0.2500 0.7002 0.2183
0.7500 0.2998 0.7817
0.7500 0.2002 0.2817
0.2500 0.7998 0.7183
0.2500 0.4388 0.3742
0.7500 0.5612 0.6258
0.7500 0.9388 0.1258
0.2500 0.0612 0.8742
0.2500 0.1310 0.1288
0.7500 0.8690 0.8712
0.7500 0.6310 0.3712
0.2500 0.3690 0.6288
0.2500 0.6840 0.4823
0.7500 0.3160 0.5177
0.7500 0.1840 0.0177
0.2500 0.8160 0.9823
0.2500 0.0020 0.3092
0.7500 0.9980 0.6908
0.7500 0.5020 0.1908
0.2500 0.4980 0.8092
```

SG ... Pnma
Raw total energy ... -30.06 eV per formula unit
Energy of formation ... -0.60 eV/atom
Magnetic moment ... 4.8 μB per cell

A plane-wave DFT calculation with PBE was carried out for a relaxed structure of BaEuZnHg.

Structure (POSCAR):
```
BaEuZnHg
1.0
5.6781 0.0000 0.0000
2.8391 4.9174 0.0000
2.8391 1.6391 4.6362
Eu Zn Hg Ba
1 1 1 1
Direct
0.2500 0.2500 0.2500
0.0000 0.0000 0.0000
0.5000 0.5000 0.5000
0.7500 0.7500 0.7500
```

SG ... F-43m
Raw total energy ... -15.12 eV per formula unit
Energy of formation ... -0.34 eV/atom
Magnetic moment ... 7.4 μB per cell

A plane-wave DFT calculation with PBE was carried out for a relaxed structure of Bi2HO.

Structure (POSCAR):
```
Bi2HO
1.0
-3.9817 -1.8684 1.2990
-1.2370 0.0775 4.4154
-3.4562 2.6870 1.3662
H Bi O
1 2 1
Direct
0.0000 0.0000 0.0000
0.2500 0.2500 0.2500
0.7500 0.7500 0.7500
0.5000 0.5000 0.5000
```

SG ... Fm-3m
Distance to the lowest polymorph of the same formula ... 103.6 kJ/mol of formula units
Raw total energy ... -14.98 eV per formula unit
Magnetic moment ... 0.0 μB per cell

A plane-wave DFT calculation with PBE was carried out for a relaxed structure of HoPaOsRh.

Structure (POSCAR):
```
HoPaOsRh
1.0
-4.7117 -1.1537 -0.1395
-1.4327 -4.4936 1.1426
-2.4260 -0.7977 4.1266
Rh Pa Os Ho
1 1 1 1
Direct
0.2500 0.2500 0.2500
0.5000 0.5000 0.5000
0.7500 0.7500 0.7500
0.0000 0.0000 0.0000
```

SG ... F-43m
Raw total energy ... -34.60 eV per formula unit
Energy of formation ... -0.49 eV/atom
Magnetic moment ... 0.0 μB per cell

A plane-wave DFT calculation with PBE was carried out for a relaxed structure of CoBPCl2.

Structure (POSCAR):
```
CoBPCl2
1.0
4.2227 0.0000 0.0000
0.0000 4.2227 0.0000
0.0000 0.0000 4.3873
P B Co Cl
1 1 1 2
Direct
0.0000 0.0000 0.5000
0.0000 0.0000 0.0000
0.5000 0.5000 0.5000
0.0000 0.5000 0.0000
0.5000 0.0000 0.0000
```

SG ... P4/mmm
Uncorrected formation energy ... 5.02 eV/f.u.
Distance to the lowest polymorph of the same formula ... 3.8 kJ/mol of formula units
Raw total energy ... -17.87 eV per formula unit
Magnetic moment ... 2.5 μB per cell

A plane-wave DFT calculation with PBE was carried out for a relaxed structure of TbHoGe2.

Structure (POSCAR):
```
TbHoGe2
1.0
4.2850 0.0000 -0.0296
0.0000 3.9703 0.0000
-2.1069 0.0000 5.3804
Tb Ho Ge
1 1 2
Direct
0.4450 0.5000 0.4285
0.7203 0.0000 0.9800
0.1680 0.5000 0.8758
0.9977 0.0000 0.5337
```

SG ... Amm2
Distance to the lowest polymorph of the same formula ... 0.0 kJ/mol of formula units
Raw total energy ... -21.92 eV per formula unit
Energy of formation ... -0.87 eV/atom
Magnetic moment ... 0.0 μB per cell

A plane-wave DFT calculation with PBE was carried out for a relaxed structure of Tl2ZnCl.

Structure (POSCAR):
```
Tl2ZnCl
1.0
-1.8505 1.2924 9.5507
-5.2006 1.0714 8.2533
-3.3641 -1.9289 9.0151
Cl Tl Zn
1 2 1
Direct
0.7732 0.7732 0.7732
0.0000 0.0000 0.0000
0.2349 0.2349 0.2349
0.4918 0.4918 0.4918
```

SG ... R3m
Uncorrected formation energy ... -1.18 eV/f.u.
Distance to the lowest polymorph of the same formula ... 7.2 kJ/mol of formula units
Raw total energy ... -9.03 eV per formula unit
Magnetic moment ... 0.0 μB per cell